# 1
AcCeMgAg | PBE-GGA | optimized geometry

Cell and atoms, written as extended XYZ:
```
4
Lattice="0.000 3.927 3.927 3.927 0.000 3.927 3.927 3.927 0.000" Properties=species:S:1:pos:R:3 pbc="T T T"
Ac 0.000 0.000 0.000
Ce 3.927 3.927 3.927
Mg 5.891 5.891 5.891
Ag 1.964 1.964 1.964
```

The crystal system is cubic. For the total energy, the calculation gives -3.614 eV per atom. As for the density of states at the Fermi level: 2.978 states/eV per atom. Its spin magnetization is 1.5 μB/cell. The calculation puts the formation energy at 0.03 eV/f.u.

# 2
Hg3S2Cl2 | PBE-GGA | optimized geometry

Cell and atoms, written as extended XYZ:
```
14
Lattice="7.479 0.000 0.000 0.000 7.435 0.000 -4.064 0.000 6.888" Properties=species:S:1:pos:R:3 pbc="T T T"
Hg 0.000 0.000 0.000
Hg -2.032 3.718 3.444
Hg 0.332 0.642 4.888
Hg 2.364 3.076 1.444
Hg 1.051 4.360 5.444
Hg 3.083 6.793 2.000
S 2.228 0.918 0.285
S 0.197 2.800 3.729
S 3.219 4.635 3.159
S 1.187 6.518 6.603
Cl -2.236 4.800 6.327
Cl -0.204 6.353 2.883
Cl 3.619 1.083 4.005
Cl 5.651 2.635 0.561
```

The uncorrected formation energy is -0.352 eV/atom. The crystal system is monoclinic. For the total energy, the calculation gives -2.189 eV per atom. Its spin magnetization is 0.0 μB/cell.

# 3
Th2MoPb | PBE-GGA | optimized geometry

Cell and atoms, written as extended XYZ:
```
4
Lattice="1.755 1.013 11.133 -1.755 1.013 11.133 0.000 -2.026 11.133" Properties=species:S:1:pos:R:3 pbc="T T T"
Th 0.000 0.000 3.383
Th 0.000 0.000 30.018
Mo 0.000 0.000 16.700
Pb 0.000 0.000 0.000
```

The crystal system is trigonal. For the total energy, the calculation gives -6.951 eV per atom. As for the density of states at the Fermi level: 1.115 states/eV per atom. Its spin magnetization is 0.0 μB/cell. The calculation puts the formation energy at 1.57 eV/f.u.

# 4
MnInSbTe2 | PBE-GGA | optimized geometry

Cell and atoms, written as extended XYZ:
```
5
Lattice="5.374 0.000 0.000 0.000 5.374 0.000 0.000 0.000 5.142" Properties=species:S:1:pos:R:3 pbc="T T T"
Mn 0.000 0.000 0.000
In 2.687 2.687 2.571
Sb 0.000 0.000 2.571
Te 0.000 2.687 0.000
Te 2.687 0.000 0.000
```

The uncorrected formation energy is 0.180 eV/atom. The crystal system is tetragonal. For the total energy, the calculation gives -4.283 eV per atom. As for the density of states at the Fermi level: 0.731 states/eV per atom. Its spin magnetization is 3.4 μB/cell.

# 5
Pr16Nd7Tm6 | PBE-GGA | optimized geometry

Cell and atoms, written as extended XYZ:
```
29
Lattice="0.000 8.096 8.096 8.096 0.000 8.096 8.096 8.096 0.000" Properties=species:S:1:pos:R:3 pbc="T T T"
Pr 10.523 5.669 5.669
Pr 2.027 2.027 2.027
Pr 6.069 6.069 2.027
Pr 6.069 2.027 6.069
Pr 5.669 5.669 5.669
Pr 10.523 10.523 5.669
Pr 10.523 5.669 10.523
Pr 14.165 10.123 10.123
Pr 2.027 6.069 6.069
Pr 5.669 10.523 5.669
Pr 5.669 5.669 10.523
Pr 10.523 10.523 10.523
Pr 10.123 14.165 10.123
Pr 10.123 10.123 14.165
Pr 14.165 14.165 14.165
Pr 5.669 10.523 10.523
Nd 0.000 0.000 0.000
Nd 4.048 4.048 0.000
Nd 4.048 0.000 4.048
Nd 8.096 4.048 4.048
Nd 0.000 4.048 4.048
Nd 4.048 8.096 4.048
Nd 4.048 4.048 8.096
Tm 8.096 8.096 4.234
Tm 8.096 4.234 8.096
Tm 11.958 8.096 8.096
Tm 4.234 8.096 8.096
Tm 8.096 11.958 8.096
Tm 8.096 8.096 11.958
```

The crystal system is cubic. For the total energy, the calculation gives -4.489 eV per atom. As for the density of states at the Fermi level: 1.254 states/eV per atom. Its spin magnetization is 0.0 μB/cell. The calculation puts the formation energy at 6.48 eV/f.u.

# 6
TlGeIrPb2 | PBE-GGA | optimized geometry

Cell and atoms, written as extended XYZ:
```
5
Lattice="5.308 0.000 0.000 0.000 5.308 0.000 0.000 0.000 5.263" Properties=species:S:1:pos:R:3 pbc="T T T"
Tl 0.000 0.000 0.000
Ge 2.654 2.654 0.000
Ir 0.000 0.000 2.631
Pb 0.000 2.654 2.631
Pb 2.654 0.000 2.631
```

The crystal system is tetragonal. For the total energy, the calculation gives -4.201 eV per atom. As for the density of states at the Fermi level: 0.815 states/eV per atom. Its spin magnetization is 0.0 μB/cell. The calculation puts the formation energy at 2.25 eV/f.u.

# 7
CdB3P | PBE-GGA | optimized geometry

Cell and atoms, written as extended XYZ:
```
5
Lattice="4.343 0.000 0.000 0.000 4.343 0.000 0.000 0.000 4.343" Properties=species:S:1:pos:R:3 pbc="T T T"
Cd 0.000 0.000 0.000
B 0.000 0.000 2.171
B 0.000 2.171 0.000
B 2.171 0.000 0.000
P 2.171 2.171 2.171
```

The crystal system is cubic. For the total energy, the calculation gives -2.758 eV per atom. As for the density of states at the Fermi level: 0.421 states/eV per atom. Its spin magnetization is 0.0 μB/cell. The calculation puts the formation energy at 12.57 eV/f.u.

# 8
LiGe2Bi2 | PBE-GGA | optimized geometry

Cell and atoms, written as extended XYZ:
```
5
Lattice="-1.853 1.853 9.027 1.853 -1.853 9.027 1.853 1.853 -9.027" Properties=species:S:1:pos:R:3 pbc="T T T"
Li 0.000 0.000 0.000
Ge 1.853 0.000 4.513
Ge 0.000 1.853 4.513
Bi 0.000 0.000 7.291
Bi 0.000 0.000 10.763
```

The crystal system is tetragonal. For the total energy, the calculation gives -3.739 eV per atom. As for the density of states at the Fermi level: 0.335 states/eV per atom. Its spin magnetization is 0.0 μB/cell. The calculation puts the formation energy at 0.21 eV/f.u.

# 9
MgTiTe3 | PBE-GGA | optimized geometry

Cell and atoms, written as extended XYZ:
```
5
Lattice="5.353 0.000 0.000 0.000 5.353 0.000 0.000 0.000 5.353" Properties=species:S:1:pos:R:3 pbc="T T T"
Mg 0.000 0.000 0.000
Ti 2.677 2.677 2.677
Te 0.000 0.000 2.677
Te 0.000 2.677 0.000
Te 2.677 0.000 0.000
```

The uncorrected formation energy is 0.506 eV/atom. The crystal system is cubic. For the total energy, the calculation gives -3.277 eV per atom. As for the density of states at the Fermi level: 2.109 states/eV per atom. Its spin magnetization is 0.0 μB/cell.

# 10
Rb2NaMgSb2 | PBE-GGA | optimized geometry

Cell and atoms, written as extended XYZ:
```
12
Lattice="-3.679 8.519 3.586 3.679 -8.519 3.586 3.679 8.519 -3.586" Properties=species:S:1:pos:R:3 pbc="T T T"
Rb 1.737 2.944 0.000
Rb 1.737 -2.944 3.586
Rb 1.943 11.463 0.000
Rb 1.943 5.575 3.586
Na 0.000 0.000 1.793
Na 0.000 0.000 5.379
Mg 3.679 0.000 1.793
Mg 0.000 8.519 1.793
Sb 5.310 1.672 0.000
Sb 1.630 6.847 0.000
Sb 2.049 1.672 3.586
Sb -1.630 6.847 3.586
```

The uncorrected formation energy is -0.437 eV/atom. The crystal system is orthorhombic. For the total energy, the calculation gives -2.620 eV per atom. As for the density of states at the Fermi level: 1.010 states/eV per atom. Its spin magnetization is 0.9 μB/cell.

# 11
K3U3NiS8 | PBE-GGA | optimized geometry

Cell and atoms, written as extended XYZ:
```
15
Lattice="6.688 -3.942 0.000 6.688 3.942 0.000 -4.385 0.000 7.540" Properties=species:S:1:pos:R:3 pbc="T T T"
K 0.000 0.000 0.000
K 3.344 1.971 0.000
K 3.344 -1.971 0.000
U 1.151 1.971 3.770
U 1.151 -1.971 3.770
U 4.495 0.000 3.770
Ni -2.193 0.000 3.770
S -0.147 0.000 5.117
S 3.388 1.957 5.239
S 2.245 0.000 2.213
S 5.603 1.957 2.301
S 3.388 -1.957 5.239
S 6.746 0.000 5.327
S 5.603 -1.957 2.301
S 9.138 0.000 2.422
```

The uncorrected formation energy is -1.202 eV/atom. The crystal system is monoclinic. For the total energy, the calculation gives -6.266 eV per atom. As for the density of states at the Fermi level: 0.910 states/eV per atom. Its spin magnetization is 7.4 μB/cell.

# 12
SmTiBO5 | PBE-GGA | optimized geometry

Cell and atoms, written as extended XYZ:
```
16
Lattice="3.181 -4.277 0.000 3.181 4.277 0.000 -2.594 0.000 6.370" Properties=species:S:1:pos:R:3 pbc="T T T"
Sm 1.235 2.922 4.778
Sm 2.533 -2.922 1.593
Ti 3.181 0.000 0.000
Ti 1.884 0.000 3.185
B 2.533 2.714 1.593
B 1.235 -2.714 4.778
O -1.246 0.642 5.772
O 1.576 1.865 2.390
O 0.051 -0.642 2.587
O 3.489 1.865 0.795
O 1.235 0.661 4.778
O 2.533 -0.661 1.593
O 0.279 -1.865 5.575
O 3.717 0.642 3.783
O 2.192 -1.865 3.980
O 5.014 -0.642 0.598
```

The uncorrected formation energy is -2.974 eV/atom. The crystal system is monoclinic. For the total energy, the calculation gives -8.485 eV per atom. As for the density of states at the Fermi level: 0.000 states/eV per atom. Its spin magnetization is 0.0 μB/cell.

# 13
Sm5Mg4Hg | PBE-GGA | optimized geometry

Cell and atoms, written as extended XYZ:
```
10
Lattice="3.842 0.000 0.000 0.000 3.842 0.000 0.000 0.000 19.104" Properties=species:S:1:pos:R:3 pbc="T T T"
Sm 0.000 0.000 0.000
Sm 0.000 0.000 3.865
Sm 0.000 0.000 7.690
Sm 0.000 0.000 11.414
Sm 0.000 0.000 15.239
Mg 1.921 1.921 1.928
Mg 1.921 1.921 5.737
Mg 1.921 1.921 13.367
Mg 1.921 1.921 17.175
Hg 1.921 1.921 9.552
```

The crystal system is tetragonal. For the total energy, the calculation gives -3.201 eV per atom. As for the density of states at the Fermi level: 1.275 states/eV per atom. Its spin magnetization is 0.3 μB/cell. The calculation puts the formation energy at -1.74 eV/f.u.

# 14
Y8AlFe4 | PBE-GGA | optimized geometry

Cell and atoms, written as extended XYZ:
```
13
Lattice="-5.055 5.055 3.012 5.055 -5.055 3.012 5.055 5.055 -3.012" Properties=species:S:1:pos:R:3 pbc="T T T"
Y 2.164 0.000 0.000
Y 7.946 0.000 0.000
Y 5.055 1.932 0.000
Y 0.000 2.164 0.000
Y 1.932 5.055 0.000
Y 3.123 0.000 3.012
Y 0.000 7.946 0.000
Y 0.000 3.123 3.012
Al 0.000 0.000 3.012
Fe 2.527 2.527 -1.506
Fe 2.527 -2.527 1.506
Fe -2.527 2.527 1.506
Fe 2.527 2.527 1.506
```

The crystal system is tetragonal. For the total energy, the calculation gives -6.607 eV per atom. As for the density of states at the Fermi level: 1.359 states/eV per atom. Its spin magnetization is 5.4 μB/cell. The calculation puts the formation energy at 3.41 eV/f.u.

# 15
Rb3HfBe | PBE-GGA | optimized geometry

Cell and atoms, written as extended XYZ:
```
5
Lattice="6.533 0.000 0.000 0.000 6.533 0.000 0.000 0.000 6.533" Properties=species:S:1:pos:R:3 pbc="T T T"
Rb 0.000 0.000 3.266
Rb 0.000 3.266 0.000
Rb 3.266 0.000 0.000
Hf 3.266 3.266 3.266
Be 0.000 0.000 0.000
```

The crystal system is cubic. For the total energy, the calculation gives -1.767 eV per atom. As for the density of states at the Fermi level: 2.338 states/eV per atom. Its spin magnetization is 3.0 μB/cell. The calculation puts the formation energy at 7.75 eV/f.u.

# 16
Ce3SmHg6 | PBE-GGA | optimized geometry

Cell and atoms, written as extended XYZ:
```
10
Lattice="5.912 3.413 2.564 -5.912 3.413 2.564 0.000 -6.827 2.564" Properties=species:S:1:pos:R:3 pbc="T T T"
Ce -4.077 -2.354 5.129
Ce 4.077 -2.354 5.129
Ce 0.000 4.707 5.129
Sm 0.000 0.000 2.765
Hg 0.000 -3.646 4.335
Hg -3.157 1.823 4.335
Hg -1.549 -0.895 5.266
Hg 1.549 -0.895 5.266
Hg 0.000 1.789 5.266
Hg 3.157 1.823 4.335
```

The crystal system is trigonal. For the total energy, the calculation gives -2.485 eV per atom. As for the density of states at the Fermi level: 2.583 states/eV per atom. Its spin magnetization is 3.4 μB/cell. The calculation puts the formation energy at -0.52 eV/f.u.

# 17
Li2CuHPd | PBE-GGA | optimized geometry

Cell and atoms, written as extended XYZ:
```
5
Lattice="3.901 0.000 0.000 0.000 3.901 0.000 0.000 0.000 3.579" Properties=species:S:1:pos:R:3 pbc="T T T"
Li 0.000 1.951 0.000
Li 1.951 0.000 0.000
Cu 0.000 0.000 1.790
H 0.000 0.000 0.000
Pd 1.951 1.951 1.790
```

The crystal system is tetragonal. For the total energy, the calculation gives -3.529 eV per atom. As for the density of states at the Fermi level: 0.237 states/eV per atom. Its spin magnetization is 0.0 μB/cell.

# 18
ZnCu | PBE-GGA | optimized geometry

Cell and atoms, written as extended XYZ:
```
4
Lattice="3.850 0.000 0.000 -1.925 3.335 0.000 0.000 0.000 4.899" Properties=species:S:1:pos:R:3 pbc="T T T"
Zn 0.000 2.223 1.225
Zn 1.925 1.112 3.675
Cu 0.000 0.000 0.000
Cu 0.000 0.000 2.450
```

The crystal system is hexagonal. For the total energy, the calculation gives -2.535 eV per atom. As for the density of states at the Fermi level: 0.215 states/eV per atom. Its spin magnetization is 0.0 μB/cell. The calculation puts the formation energy at 0.30 eV/f.u.

# 19
Cu2TcGe | PBE-GGA | optimized geometry

Cell and atoms, written as extended XYZ:
```
8
Lattice="-1.772 1.772 9.370 1.772 -1.772 9.370 1.772 1.772 -9.370" Properties=species:S:1:pos:R:3 pbc="T T T"
Cu 2.658 0.883 -2.342
Cu 0.883 0.886 2.342
Cu -0.886 0.889 7.027
Cu 0.889 0.886 11.712
Tc 0.000 0.000 0.000
Tc 0.000 1.772 4.685
Ge 1.772 0.000 4.685
Ge 0.000 0.000 9.370
```

The crystal system is tetragonal. For the total energy, the calculation gives -5.425 eV per atom. As for the density of states at the Fermi level: 0.487 states/eV per atom. Its spin magnetization is 2.0 μB/cell. The calculation puts the formation energy at 1.47 eV/f.u.

# 20
Ag14SnSb | PBE-GGA | optimized geometry

Cell and atoms, written as extended XYZ:
```
16
Lattice="9.625 0.000 0.000 0.000 3.091 5.096 0.000 -3.091 5.096" Properties=species:S:1:pos:R:3 pbc="T T T"
Ag 0.000 0.000 10.190
Ag 0.000 -1.545 7.636
Ag 0.000 0.000 5.096
Ag 0.000 1.545 7.636
Ag 2.326 -1.538 4.332
Ag 2.326 1.538 4.332
Ag 2.359 0.000 6.854
Ag 2.364 0.000 1.759
Ag 4.812 -1.537 6.029
Ag 4.812 1.537 6.029
Ag 7.261 0.000 1.759
Ag 7.266 0.000 6.854
Ag 7.299 -1.538 4.332
Ag 7.299 1.538 4.332
Sn 4.812 0.000 3.475
Sb 4.812 0.000 8.592
```

The uncorrected formation energy is 0.046 eV/atom. The crystal system is orthorhombic. For the total energy, the calculation gives -2.957 eV per atom. As for the density of states at the Fermi level: 0.331 states/eV per atom. Its spin magnetization is 0.0 μB/cell.